(1)
The following is a meta-GGA SCAN calculation of a PBEsol-optimized structure of YMoPb2, from the Alexandria database. Values from VASP.

Calculated values
DFT total energy, eV per cell: -213.17
Distance to the lowest polymorph of the same formula, eV/f.u.: 0.91
ΔH_f (0 K), eV/atom: 0.279

Geometry as Quantum ESPRESSO input:
```
&SYSTEM
  ibrav = 0, nat = 4, ntyp = 3
/
ATOMIC_SPECIES
Y 88.91 Y.upf
Mo 95.94 Mo.upf
Pb 207.20 Pb.upf
CELL_PARAMETERS angstrom
1.683 0.972 9.474
-1.683 0.972 9.474
0.000 -1.944 9.474
ATOMIC_POSITIONS angstrom
Y 0.000 0.000 0.000
Mo 0.000 0.000 14.210
Pb 0.000 0.000 6.835
Pb 0.000 0.000 21.586
```

(2)
The following is a meta-GGA SCAN calculation of a PBEsol-optimized structure of S4I2O15, from the Alexandria database. Values from VASP.

Calculated values
DFT total energy, eV per cell: -227.85
Formation energy without anion corrections, eV/atom: -1.0661

Geometry as Quantum ESPRESSO input:
```
&SYSTEM
  ibrav = 0, nat = 21, ntyp = 3
/
ATOMIC_SPECIES
S 32.06 S.upf
I 126.90 I.upf
O 16.00 O.upf
CELL_PARAMETERS angstrom
5.596 0.000 0.000
-2.030 6.267 0.000
-0.788 -1.156 9.047
ATOMIC_POSITIONS angstrom
S 0.000 0.000 0.000
S -0.628 2.585 5.708
S 2.735 -0.187 3.799
S 3.421 3.427 0.601
I 1.001 -0.669 6.540
I 1.458 3.093 3.077
O 0.055 0.305 1.390
O -0.758 3.367 0.479
O -0.426 2.698 4.212
O -1.380 4.917 8.516
O 0.276 1.606 6.297
O 1.363 -0.326 4.448
O 0.022 3.932 6.322
O 0.687 4.919 2.704
O 2.538 2.419 0.122
O 2.715 1.020 2.972
O 3.823 -0.369 4.707
O 2.094 3.607 8.894
O 3.141 3.741 2.123
O 4.025 -0.402 8.120
O 3.572 2.527 6.012
```

(3)
The following is a meta-GGA SCAN calculation of a PBEsol-optimized structure of AlInTc2, from the Alexandria database. Values from VASP.

Calculated values
DFT total energy, eV per cell: -110.60
Distance to the lowest polymorph of the same formula, eV/f.u.: 0.66
ΔH_f (0 K), eV/atom: 0.165

Geometry as Quantum ESPRESSO input:
```
&SYSTEM
  ibrav = 0, nat = 4, ntyp = 3
/
ATOMIC_SPECIES
Al 26.98 Al.upf
In 114.82 In.upf
Tc 98.00 Tc.upf
CELL_PARAMETERS angstrom
2.767 -4.323 0.000
2.767 4.323 0.000
-1.021 0.000 2.606
ATOMIC_POSITIONS angstrom
Al 0.000 0.000 0.000
In 2.767 0.000 0.000
Tc 0.873 2.161 1.303
Tc 0.873 -2.161 1.303
```

(4)
The following is a meta-GGA SCAN calculation of a PBEsol-optimized structure of KInSi2, from the Alexandria database. Values from VASP.

Calculated values
DFT total energy, eV per cell: -59.26
Formation energy without anion corrections, eV/atom: 0.6220

Geometry as Quantum ESPRESSO input:
```
&SYSTEM
  ibrav = 0, nat = 4, ntyp = 3
/
ATOMIC_SPECIES
K 39.10 K.upf
In 114.82 In.upf
Si 28.09 Si.upf
CELL_PARAMETERS angstrom
3.098 -4.972 0.000
3.098 4.972 0.000
0.000 0.000 2.800
ATOMIC_POSITIONS angstrom
K 0.000 0.000 0.000
In 3.098 0.000 0.000
Si 1.549 2.486 1.400
Si 1.549 -2.486 1.400
```